[1]
VASP calculation (PBE-GGA) on an optimized crystal structure of Mg2ZnCrRe.

- energy of formation (eV per atom) = 1.04

a = 5.1426 Å, b = 4.5032 Å, c = 5.1426 Å
α = 90.00°, β = 90.00°, γ = 90.00°
Last column: nearest neighbours and their distance in Å.
Fractional coordinates of all 5 atoms:
Mg 0.5000 0.0000 0.0000  2 Re 2.57
Mg 0.0000 0.0000 0.5000  2 Re 2.57
Cr 0.0000 0.5000 0.0000  2 Re 2.25
Zn 0.5000 0.5000 0.5000  8 Mg 3.42, 4 Cr 3.64
Re 0.0000 0.0000 0.0000  2 Cr 2.25

[2]
VASP calculation (PBE-GGA) on an optimized crystal structure of Pm3Cu3Pd2.

- energy of formation (eV per atom) = -0.45
- E above lowest polymorph (meV per atom) = 19

a = 5.5221 Å, b = 7.5919 Å, c = 16.0300 Å
α = 90.00°, β = 90.00°, γ = 90.00°
Last column: nearest neighbours and their distance in Å.
Fractional coordinates of all 32 atoms:
Pm 0.1300 0.1725 0.7500  3 Cu 2.95-3.06, 4 Pd 3.01-3.07
Pm 0.8700 0.8275 0.2500  3 Cu 2.95-3.06, 4 Pd 3.01-3.07
Pm 0.3697 0.9614 0.1031  3 Pd 2.98-3.03, 6 Cu 3.01-3.21
Pm 0.6303 0.0386 0.6031  3 Pd 2.98-3.03, 6 Cu 3.01-3.21
Pm 0.3697 0.9614 0.3969  3 Pd 2.98-3.03, 6 Cu 3.01-3.21
Pm 0.6300 0.3275 0.2500  3 Cu 2.95-3.06, 4 Pd 3.01-3.07
Pm 0.6303 0.0386 0.8969  3 Pd 2.98-3.03, 6 Cu 3.01-3.21
Pm 0.8697 0.5386 0.6031  3 Pd 2.98-3.03, 6 Cu 3.01-3.21
Pm 0.3700 0.6725 0.7500  3 Cu 2.95-3.06, 4 Pd 3.01-3.07
Pm 0.1303 0.4614 0.1031  3 Pd 2.98-3.03, 6 Cu 3.01-3.21
Pm 0.8697 0.5386 0.8969  3 Pd 2.98-3.03, 6 Cu 3.01-3.21
Pm 0.1303 0.4614 0.3969  3 Pd 2.98-3.03, 6 Cu 3.01-3.21
Cu 0.5917 0.3190 0.0291  3 Pd 2.58-2.67
Cu 0.4083 0.6810 0.9709  3 Pd 2.58-2.67
Cu 0.5917 0.3190 0.4709  3 Pd 2.58-2.67
Cu 0.9083 0.8190 0.0291  3 Pd 2.58-2.67
Cu 0.4083 0.6810 0.5291  3 Pd 2.58-2.67
Cu 0.0917 0.1810 0.9709  3 Pd 2.58-2.67
Cu 0.8661 0.8176 0.7500  2 Pd 2.68, 2 Pm 2.95-2.99
Cu 0.1339 0.1824 0.2500  2 Pd 2.68, 2 Pm 2.95-2.99
Cu 0.3661 0.6824 0.2500  2 Pd 2.68, 2 Pm 2.95-2.99
Cu 0.6339 0.3176 0.7500  2 Pd 2.68, 2 Pm 2.95-2.99
Cu 0.9083 0.8190 0.4709  3 Pd 2.58-2.67
Cu 0.0917 0.1810 0.5291  3 Pd 2.58-2.67
Pd 0.6330 0.6126 0.3855  4 Cu 2.58-2.68
Pd 0.3670 0.3874 0.6145  4 Cu 2.58-2.68
Pd 0.1330 0.8874 0.6145  4 Cu 2.58-2.68
Pd 0.6330 0.6126 0.1145  4 Cu 2.58-2.68
Pd 0.8670 0.1126 0.3855  4 Cu 2.58-2.68
Pd 0.3670 0.3874 0.8855  4 Cu 2.58-2.68
Pd 0.8670 0.1126 0.1145  4 Cu 2.58-2.68
Pd 0.1330 0.8874 0.8855  4 Cu 2.58-2.68

[3]
VASP calculation (PBE-GGA) on an optimized crystal structure of Ac2PuNbN5.

- formation energy (no corrections) (meV per atom) = -1153.6

a = 3.6222 Å, b = 7.5198 Å, c = 11.0861 Å
α = 90.00°, β = 90.00°, γ = 103.94°
Last column: nearest neighbours and their distance in Å.
Fractional coordinates of all 18 atoms:
Pu 0.7894 0.5787 0.5071  6 N 2.27-2.49
Pu 0.2106 0.4213 0.0071  6 N 2.27-2.49
N 0.2811 0.5623 0.6395  2 Pu 2.33, 1 Ac 2.57
N 0.0500 0.1001 0.0372  2 Nb 2.05
N 0.3812 0.7623 0.0101  1 Nb 1.99
N 0.7189 0.4377 0.1395  2 Pu 2.33, 1 Ac 2.57
N 0.6188 0.2377 0.5101  1 Nb 1.99
N 0.6905 0.3810 0.8859  2 Pu 2.27
N 0.5065 0.0130 0.2936  1 Nb 1.94
N 0.3095 0.6190 0.3859  2 Pu 2.27
N 0.9500 0.8999 0.5372  2 Nb 2.05
N 0.4935 0.9870 0.7936  1 Nb 1.94
Nb 0.5134 0.0268 0.9662  4 N 1.94-2.05
Nb 0.4866 0.9732 0.4662  4 N 1.94-2.05
Ac 0.8902 0.7804 0.1942  5 N 2.57-2.73
Ac 0.1422 0.2844 0.2902  5 N 2.66-2.71
Ac 0.1098 0.2196 0.6942  5 N 2.57-2.73
Ac 0.8578 0.7156 0.7902  5 N 2.66-2.71

[4]
VASP calculation (PBE-GGA) on an optimized crystal structure of LaBeN3.

- formation energy (no corrections) (meV per atom) = 65.8

a = 3.7187 Å, b = 3.7187 Å, c = 3.7187 Å
α = 90.00°, β = 90.00°, γ = 90.00°
Last column: nearest neighbours and their distance in Å.
Fractional coordinates of all 5 atoms:
N 0.5000 0.0000 0.0000  2 Be 1.86
N 0.0000 0.5000 0.0000  2 Be 1.86
N 0.0000 0.0000 0.5000  2 Be 1.86
La 0.5000 0.5000 0.5000  12 N 2.63
Be 0.0000 0.0000 0.0000  6 N 1.86

[5]
VASP calculation (PBE-GGA) on an optimized crystal structure of MgZnC.

- energy of formation (eV per atom) = 0.30

a = 3.2092 Å, b = 8.5693 Å, c = 3.2088 Å
α = 90.02°, β = 90.02°, γ = 90.01°
Last column: nearest neighbours and their distance in Å.
Fractional coordinates of all 6 atoms:
C 0.9527 0.4205 0.1339  1 C 1.31
C 0.9526 0.5739 0.1340  1 C 1.31
Mg 0.4526 0.5005 0.6339  8 C 2.35-2.37
Mg 0.9528 0.8247 0.1329  1 C 2.15
Zn 0.4532 0.0250 0.6333  4 Zn 2.67, 4 Mg 2.84-2.85
Zn 0.9535 0.1888 0.1335  1 C 1.99

[6]
VASP calculation (PBE-GGA) on an optimized crystal structure of Sr3ScN3.

- formation energy (no corrections) (meV per atom) = -709.0

a = 7.9848 Å, b = 7.9848 Å, c = 5.3876 Å
α = 90.00°, β = 90.00°, γ = 120.00°
Last column: nearest neighbours and their distance in Å.
Fractional coordinates of all 14 atoms:
Sr 0.0699 0.3419 0.7500  4 N 2.56-2.77
Sr 0.9301 0.6581 0.2500  4 N 2.56-2.77
Sr 0.6581 0.7280 0.7500  4 N 2.56-2.77
Sr 0.3419 0.2720 0.2500  4 N 2.56-2.77
Sr 0.2720 0.9301 0.7500  4 N 2.56-2.77
Sr 0.7280 0.0699 0.2500  4 N 2.56-2.77
N 0.3904 0.2932 0.7500  1 Sc 2.06
N 0.2932 0.9029 0.2500  1 Sc 2.06
N 0.9029 0.6096 0.7500  1 Sc 2.06
N 0.7068 0.0971 0.7500  1 Sc 2.06
N 0.0971 0.3904 0.2500  1 Sc 2.06
N 0.6096 0.7068 0.2500  1 Sc 2.06
Sc 0.6667 0.3333 0.7500  3 N 2.06
Sc 0.3333 0.6667 0.2500  3 N 2.06

| no. | spin magnetization (μB per formula unit) | total DFT energy (no corrections) (eV/atom) |
| --- | --- | --- |
| 1 | 2.065 | -4.263 |
| 2 | 0.000 | -5.070 |
| 3 | 4.003 | -9.403 |
| 4 | 0.000 | -6.660 |
| 5 | 0.000 | -3.728 |
| 6 | 0.000 | -5.902 |